#w
Entry from Alexandria via LeMat-Bulk: crystalline AcAl4Ag at its relaxed geometry (PBE).

Computed properties:
- density of states at the Fermi level (states/eV per atom) = 0.521

abc: 5.705 5.705 5.705
angles: 60.00 60.00 60.00
Positions (direct):
1 Ac 0.000 0.000 0.000
2 Al 0.374 0.374 0.374
3 Al 0.374 0.374 0.878
4 Al 0.374 0.878 0.374
5 Al 0.878 0.374 0.374
6 Ag 0.750 0.750 0.750

#x
Entry from Alexandria via LeMat-Bulk: crystalline AcAl4Ag at its relaxed geometry (PBE).

Computed properties:
- density of states at the Fermi level (states/eV per atom) = 0.415

abc: 8.570 8.570 7.053
angles: 90.00 90.00 150.05
Positions (direct):
1 Ac 0.113 0.887 0.750
2 Ac 0.887 0.113 0.250
3 Al 0.075 0.925 0.250
4 Al 0.324 0.676 0.560
5 Al 0.324 0.676 0.940
6 Al 0.500 0.500 0.000
7 Al 0.500 0.500 0.500
8 Al 0.676 0.324 0.060
9 Al 0.676 0.324 0.440
10 Al 0.925 0.075 0.750
11 Ag 0.230 0.770 0.250
12 Ag 0.770 0.230 0.750

Result of the stability comparison: #w is the least stable of them.

#w
Entry from Alexandria via LeMat-Bulk: crystalline Ac3AlAg at its relaxed geometry (PBE).

Computed properties:
- density of states at the Fermi level (states/eV per atom) = 1.354

abc: 10.982 10.982 5.668
angles: 90.00 90.00 150.01
Positions (direct):
1 Ac 0.065 0.935 0.750
2 Ac 0.248 0.752 0.750
3 Ac 0.429 0.571 0.750
4 Ac 0.571 0.429 0.250
5 Ac 0.752 0.248 0.250
6 Ac 0.935 0.065 0.250
7 Al 0.156 0.844 0.250
8 Al 0.844 0.156 0.750
9 Ag 0.342 0.658 0.250
10 Ag 0.658 0.342 0.750

#x
Entry from Alexandria via LeMat-Bulk: crystalline Ac3AlAg at its relaxed geometry (PBE).

Computed properties:
- density of states at the Fermi level (states/eV per atom) = 1.020

abc: 8.706 8.706 12.314
angles: 115.24 115.24 66.62
Positions (direct):
1 Ac 0.132 0.757 0.919
2 Ac 0.188 0.310 0.420
3 Ac 0.207 0.518 0.210
4 Ac 0.243 0.868 0.581
5 Ac 0.310 0.188 0.920
6 Ac 0.482 0.793 0.290
7 Ac 0.518 0.207 0.710
8 Ac 0.690 0.812 0.080
9 Ac 0.757 0.132 0.419
10 Ac 0.793 0.482 0.790
11 Ac 0.812 0.690 0.580
12 Ac 0.868 0.243 0.081
13 Al 0.094 0.330 0.662
14 Al 0.330 0.094 0.162
15 Al 0.670 0.906 0.838
16 Al 0.906 0.670 0.338
17 Ag 0.047 0.953 0.250
18 Ag 0.500 0.500 0.000
19 Ag 0.500 0.500 0.500
20 Ag 0.953 0.047 0.750

Result of the stability comparison: #x is the least stable of them.

#w
Entry from Alexandria via LeMat-Bulk: crystalline AcAl6Ag2 at its relaxed geometry (PBE).

Computed properties:
- density of states at the Fermi level (states/eV per atom) = 0.378

abc: 4.747 4.747 8.130
angles: 90.00 90.00 90.00
Positions (direct):
1 Ac 0.000 0.000 0.000
2 Al 0.000 0.000 0.500
3 Al 0.000 0.500 0.321
4 Al 0.000 0.500 0.679
5 Al 0.500 0.000 0.321
6 Al 0.500 0.000 0.679
7 Al 0.500 0.500 0.500
8 Ag 0.500 0.500 0.167
9 Ag 0.500 0.500 0.833

#x
Entry from Alexandria via LeMat-Bulk: crystalline AcAl6Ag2 at its relaxed geometry (PBE).

Computed properties:
- density of states at the Fermi level (states/eV per atom) = 0.307

abc: 7.425 7.425 7.425
angles: 145.75 119.28 71.60
Positions (direct):
1 Ac 0.000 0.000 0.000
2 Al 0.011 0.698 0.313
3 Al 0.332 0.500 0.832
4 Al 0.385 0.698 0.687
5 Al 0.615 0.302 0.313
6 Al 0.668 0.500 0.168
7 Al 0.989 0.302 0.687
8 Ag 0.385 0.885 0.500
9 Ag 0.615 0.115 0.500

Result of the stability comparison: #x is the least stable of them.

#w
Entry from Alexandria via LeMat-Bulk: crystalline AcAl3Ag at its relaxed geometry (PBE).

Computed properties:
- density of states at the Fermi level (states/eV per atom) = 0.213

abc: 4.413 4.413 5.772
angles: 90.00 90.00 90.00
Positions (direct):
1 Ac 0.000 0.000 0.000
2 Al 0.000 0.500 0.508
3 Al 0.500 0.000 0.508
4 Al 0.500 0.500 0.784
5 Ag 0.500 0.500 0.237

#x
Entry from Alexandria via LeMat-Bulk: crystalline AcAl3Ag at its relaxed geometry (PBE).

Computed properties:
- density of states at the Fermi level (states/eV per atom) = 0.361

abc: 6.595 6.595 6.023
angles: 90.00 90.00 120.00
Positions (direct):
1 Ac 0.333 0.667 0.250
2 Ac 0.667 0.333 0.750
3 Al 0.196 0.392 0.750
4 Al 0.196 0.804 0.750
5 Al 0.392 0.196 0.250
6 Al 0.608 0.804 0.750
7 Al 0.804 0.196 0.250
8 Al 0.804 0.608 0.250
9 Ag 0.000 0.000 0.000
10 Ag 0.000 0.000 0.500

Result of the stability comparison: #x is the least stable of them.

#w
Entry from Alexandria via LeMat-Bulk: crystalline Ac4AlAg3 at its relaxed geometry (PBE).

Computed properties:
- density of states at the Fermi level (states/eV per atom) = 1.124

abc: 4.309 4.927 12.043
angles: 90.00 90.00 90.00
Positions (direct):
1 Ac 0.000 0.000 0.000
2 Ac 0.000 0.500 0.288
3 Ac 0.500 0.000 0.499
4 Ac 0.500 0.500 0.792
5 Al 0.000 0.000 0.716
6 Ag 0.000 0.500 0.577
7 Ag 0.500 0.000 0.217
8 Ag 0.500 0.500 0.073

#x
Entry from Alexandria via LeMat-Bulk: crystalline Ac4AlAg3 at its relaxed geometry (PBE).

Computed properties:
- density of states at the Fermi level (states/eV per atom) = 0.729

abc: 3.942 3.942 16.011
angles: 90.00 90.00 90.00
Positions (direct):
1 Ac 0.000 0.000 0.123
2 Ac 0.000 0.000 0.374
3 Ac 0.000 0.000 0.626
4 Ac 0.000 0.000 0.877
5 Al 0.500 0.500 0.000
6 Ag 0.500 0.500 0.251
7 Ag 0.500 0.500 0.500
8 Ag 0.500 0.500 0.749

Result of the stability comparison: #w is the least stable of them.

#w
Entry from Alexandria via LeMat-Bulk: crystalline Ac2AlAg3 at its relaxed geometry (PBE).

Computed properties:
- density of states at the Fermi level (states/eV per atom) = 0.860

abc: 9.640 9.337 6.305
angles: 73.21 68.02 38.77
Positions (direct):
1 Ac 0.241 0.759 0.759
2 Ac 0.250 0.250 0.250
3 Ac 0.750 0.750 0.750
4 Ac 0.759 0.241 0.241
5 Al 0.334 0.334 0.666
6 Al 0.666 0.666 0.334
7 Ag 0.173 0.173 0.827
8 Ag 0.174 0.656 0.344
9 Ag 0.344 0.826 0.174
10 Ag 0.656 0.174 0.826
11 Ag 0.826 0.344 0.656
12 Ag 0.827 0.827 0.173

#x
Entry from Alexandria via LeMat-Bulk: crystalline Ac2AlAg3 at its relaxed geometry (PBE).

Computed properties:
- density of states at the Fermi level (states/eV per atom) = 0.740

abc: 4.027 4.821 8.416
angles: 90.00 90.00 90.00
Positions (direct):
1 Ac 0.000 0.000 0.000
2 Ac 0.000 0.500 0.492
3 Al 0.500 0.500 0.823
4 Ag 0.500 0.000 0.334
5 Ag 0.500 0.000 0.675
6 Ag 0.500 0.500 0.148

Result of the stability comparison: #w is the least stable of them.